Density functional theory data (GGA-PBE) for NiAg2Ir after structural relaxation.

Geometry as CIF:
```
data_NiAg2Ir
_cell_length_a 2.737
_cell_length_b 2.737
_cell_length_c 9.404
_cell_angle_alpha 90.00
_cell_angle_beta 90.00
_cell_angle_gamma 118.00
_symmetry_space_group_name_H-M 'P 1'
_symmetry_Int_Tables_number 1
_symmetry_space_group_name_Hall 'P 1'
loop_
_atom_site_label
_atom_site_fract_x
_atom_site_fract_y
_atom_site_fract_z
Ni1 0.500 0.500 0.740
Ag1 0.000 0.000 0.983
Ag2 0.500 0.500 0.255
Ir1 0.000 0.000 0.522
```

Results
Polymorph energy (0 for the lowest one) (meV per atom): 88
Density of states at the Fermi level (states/eV per atom): 1.264
Formation enthalpy at 0 K (eV/atom): 0.2909
Total magnetization (Bohr magnetons per cell): 1.21



Density functional theory data (GGA-PBE) for Ag2SbPdO4 after structural relaxation.

Geometry as CIF:
```
data_Ag2SbPdO4
_cell_length_a 5.042
_cell_length_b 5.155
_cell_length_c 6.035
_cell_angle_alpha 114.87
_cell_angle_beta 115.59
_cell_angle_gamma 89.06
_symmetry_space_group_name_H-M 'P 1'
_symmetry_Int_Tables_number 1
_symmetry_space_group_name_Hall 'P 1'
loop_
_atom_site_label
_atom_site_fract_x
_atom_site_fract_y
_atom_site_fract_z
O1 0.987 0.038 0.666
O2 0.352 0.887 0.255
O3 0.646 0.606 0.699
O4 0.873 0.434 0.217
Sb1 0.668 0.683 0.416
Ag1 0.498 0.001 0.968
Ag2 0.260 0.275 0.569
Pd1 0.104 0.463 0.984
```

Results
Raw formation energy (eV/atom): -0.4425
Density of states at the Fermi level (states/eV per atom): 0.395
Total magnetization (Bohr magnetons per cell): 0.00



Density functional theory data (GGA-PBE) for NaSn2I5 after structural relaxation.

Geometry as CIF:
```
data_NaSn2I5
_cell_length_a 8.121
_cell_length_b 11.708
_cell_length_c 15.549
_cell_angle_alpha 110.65
_cell_angle_beta 90.00
_cell_angle_gamma 90.00
_symmetry_space_group_name_H-M 'P 1'
_symmetry_Int_Tables_number 1
_symmetry_space_group_name_Hall 'P 1'
loop_
_atom_site_label
_atom_site_fract_x
_atom_site_fract_y
_atom_site_fract_z
Sn1 0.007 0.412 0.616
Sn2 0.993 0.588 0.384
Sn3 0.507 0.912 0.116
Sn4 0.507 0.588 0.884
Sn5 0.993 0.912 0.616
Sn6 0.007 0.088 0.384
Sn7 0.493 0.088 0.884
Sn8 0.493 0.412 0.116
I1 0.692 0.750 0.500
I2 0.834 0.357 0.407
I3 0.829 0.955 0.803
I4 0.334 0.857 0.907
I5 0.829 0.546 0.197
I6 0.308 0.250 0.500
I7 0.166 0.857 0.407
I8 0.666 0.143 0.093
I9 0.671 0.955 0.303
I10 0.171 0.045 0.197
I11 0.334 0.643 0.093
I12 0.808 0.750 0.000
I13 0.171 0.454 0.803
I14 0.671 0.546 0.697
I15 0.329 0.045 0.697
I16 0.666 0.357 0.907
I17 0.192 0.250 0.000
I18 0.166 0.643 0.593
I19 0.329 0.454 0.303
I20 0.834 0.143 0.593
Na1 0.500 0.000 0.500
Na2 0.000 0.500 0.000
Na3 0.500 0.500 0.500
Na4 0.000 0.000 0.000
```

Results
Raw formation energy (eV/atom): -0.6697
Total magnetization (Bohr magnetons per cell): 0.00



Q: What is the total magnetization in the third record?
A: 0.00 Bohr magnetons per cell



Q: Which formula does entry 1 have?
A: NiAg2Ir